CaCu2MoPb | PBE-GGA | optimized geometry

Geometry as extended XYZ:
```
5
Lattice="4.972 0.000 0.000 0.000 4.972 0.000 0.000 0.000 5.845" Properties=species:S:1:pos:R:3 pbc="T T T"
Ca 0.000 0.000 0.000
Cu 0.000 2.486 2.923
Cu 2.486 0.000 2.923
Mo 2.486 2.486 0.000
Pb 0.000 0.000 2.923
```

**E_form**: 1.3407 eV/atom
**Density of states at the Fermi level**: 3.388 states/eV per cell
**VASP energy**: -0.1325 hartree per atom
**Space-group type**: No. 123



CaCuMo2S | PBE-GGA | optimized geometry

Geometry as extended XYZ:
```
5
Lattice="4.686 0.000 0.000 0.000 4.686 0.000 0.000 0.000 4.875" Properties=species:S:1:pos:R:3 pbc="T T T"
Ca 0.000 0.000 0.000
Cu 2.343 2.343 2.437
Mo 0.000 2.343 0.000
Mo 2.343 0.000 0.000
S 0.000 0.000 2.437
```

**Formation energy (no corrections)**: 2.37 eV/atom
**Density of states at the Fermi level**: 5.148 states/eV per cell
**VASP energy**: -0.1474 hartree per atom
**Space-group type**: No. 123



CaCuN2 | PBE-GGA | optimized geometry

Geometry as extended XYZ:
```
4
Lattice="1.899 1.096 5.589 -1.899 1.096 5.589 0.000 -2.193 5.589" Properties=species:S:1:pos:R:3 pbc="T T T"
Ca 0.000 0.000 0.000
Cu 0.000 0.000 8.383
N 0.000 0.000 6.667
N 0.000 0.000 10.099
```

**Formation energy (no corrections)**: 0.55 eV/atom
**Density of states at the Fermi level**: 2.802 states/eV per cell
**VASP energy**: -0.1886 hartree per atom
**Excess energy over the best structure of this formula in the dataset**: 0.69 eV per formula unit
**Space-group type**: No. 166



CaCuN2 | PBE-GGA | optimized geometry

Geometry as extended XYZ:
```
4
Lattice="1.641 0.948 6.082 -1.641 0.948 6.082 0.000 -1.895 6.082" Properties=species:S:1:pos:R:3 pbc="T T T"
Ca 0.000 0.000 0.000
Cu 0.000 0.000 9.123
N 0.000 0.000 2.246
N 0.000 0.000 16.001
```

**Formation energy (no corrections)**: 1.04 eV/atom
**Density of states at the Fermi level**: 4.130 states/eV per cell
**VASP energy**: -0.1706 hartree per atom
**Excess energy over the best structure of this formula in the dataset**: 2.65 eV per formula unit
**Space-group type**: No. 166